Entry from Alexandria via LeMat-Bulk: a geometry-optimized Hf2TeRuCl structure (GGA-PBE).

Computed properties:
The total energy comes out at -32.99 eV per cell. For the raw formation energy, the calculation gives 236 meV/atom. For the calculated volume, the calculation gives 25.65 Å³ per atom. Its magnetic moment is 0.000 μB/atom.

a b c (Å): 5.043 5.043 5.042
angles (deg): 90.00 90.00 90.00
Space group P4/mmm (No. 123)
Unique sites:
Hf  0.000  0.500  0.000 (multiplicity 2)
Te  0.000  0.000  0.500 (multiplicity 1)
Ru  0.000  0.000  0.000 (multiplicity 1)
Cl  0.500  0.500  0.500 (multiplicity 1)


Entry from Alexandria via LeMat-Bulk: a geometry-optimized HfSCl3 structure (GGA-PBE).

Computed properties:
The total energy comes out at -22.88 eV per cell. The energy above the most stable polymorph in this dataset comes out at 0 meV per atom. For the raw formation energy, the calculation gives -653 meV/atom. For the calculated volume, the calculation gives 24.51 Å³ per atom. Its magnetic moment is 0.288 μB/atom.

a b c (Å): 4.967 4.967 4.967
angles (deg): 90.00 90.00 90.00
Space group Pm-3m (No. 221)
Unique sites:
Hf  0.000  0.000  0.000 (multiplicity 1)
S  0.500  0.500  0.500 (multiplicity 1)
Cl  0.000  0.000  0.500 (multiplicity 3)


Entry from Alexandria via LeMat-Bulk: a geometry-optimized HfS5Cl structure (GGA-PBE).

Computed properties:
The total energy comes out at -69.97 eV per cell. For the raw formation energy, the calculation gives -364 meV/atom. For the calculated volume, the calculation gives 22.28 Å³ per atom. Its magnetic moment is 0.143 μB/atom.

a b c (Å): 5.061 5.191 11.871
angles (deg): 90.00 90.00 90.00
Space group Imm2 (No. 44)
Unique sites:
Hf  0.000  0.000  0.000 (multiplicity 2)
S  0.000  0.000  0.209 (multiplicity 2)
S  0.000  0.309  0.547 (multiplicity 4)
S  0.194  0.000  0.794 (multiplicity 4)
Cl  0.000  0.500  0.956 (multiplicity 2)